[1]
4
Lattice="0.000 3.161 5.955 3.069 0.000 5.955 3.069 3.161 0.000" Properties=species:S:1:pos:R:3 comment="TlHg2Br | the Alexandria database | SCAN | PBEsol geometry" mass_density_g_cm3=9.85 magnetic_moment_mub_per_fu=0.000 e_form_raw_mev_per_atom=-365 pbc="T T T"
Tl 0.000 0.000 0.000
Hg 3.069 1.580 2.977
Hg 0.000 1.580 2.977
Br 3.069 3.161 5.955


[2]
17
Lattice="5.945 -7.391 0.000 5.945 7.391 0.000 -3.083 0.000 5.952" Properties=species:S:1:pos:R:3 comment="TlHg5Br11 | the Alexandria database | SCAN | PBEsol geometry" mass_density_g_cm3=6.62 magnetic_moment_mub_per_fu=0.000 e_form_raw_mev_per_atom=-505 pbc="T T T"
Tl 0.000 0.000 0.000
Hg 0.122 2.426 4.062
Hg 0.122 -2.426 4.062
Hg 5.945 0.000 0.000
Hg 8.685 2.426 1.890
Hg 8.685 -2.426 1.890
Br -1.542 0.000 2.976
Br 2.854 4.174 4.233
Br 3.284 1.810 0.493
Br 5.953 4.174 1.719
Br 2.322 0.000 3.541
Br 3.284 -1.810 0.493
Br 5.523 1.810 5.459
Br 6.484 0.000 2.411
Br 2.854 -4.174 4.233
Br 5.523 -1.810 5.459
Br 5.953 -4.174 1.719


[3]
4
Lattice="3.084 -3.230 0.000 3.084 3.230 0.000 0.000 0.000 5.878" Properties=species:S:1:pos:R:3 comment="TlHg2Br | the Alexandria database | SCAN | PBEsol geometry" mass_density_g_cm3=9.72 magnetic_moment_mub_per_fu=0.000 e_form_raw_mev_per_atom=-366 pbc="T T T"
Tl 0.000 0.000 0.000
Hg 3.084 1.598 2.939
Hg 3.084 -1.598 2.939
Br 3.084 0.000 0.000


[4]
22
Lattice="8.678 0.000 0.000 0.000 8.678 0.000 0.000 0.000 8.792" Properties=species:S:1:pos:R:3 comment="Tl4HgBr6 | the Alexandria database | SCAN | PBEsol geometry" mass_density_g_cm3=7.51 magnetic_moment_mub_per_fu=0.000 e_form_raw_mev_per_atom=-795 pbc="T T T"
Tl 1.273 3.066 2.198
Tl 1.273 3.066 6.594
Tl 3.066 7.405 2.198
Tl 3.066 7.405 6.594
Tl 5.612 1.273 2.198
Tl 5.612 1.273 6.594
Tl 7.405 5.612 2.198
Tl 7.405 5.612 6.594
Hg 0.000 0.000 0.000
Hg 4.339 4.339 4.396
Br 0.000 0.000 2.572
Br 0.000 0.000 6.220
Br 1.237 5.912 0.000
Br 1.573 5.576 4.396
Br 2.766 1.237 0.000
Br 3.102 1.573 4.396
Br 4.339 4.339 1.824
Br 4.339 4.339 6.968
Br 5.576 7.105 4.396
Br 5.912 7.441 0.000
Br 7.105 3.102 4.396
Br 7.441 2.766 0.000


[5]
3
Lattice="0.000 3.720 3.720 3.720 0.000 3.720 3.720 3.720 0.000" Properties=species:S:1:pos:R:3 comment="TlHgBr | the Alexandria database | SCAN | PBEsol geometry" mass_density_g_cm3=7.82 magnetic_moment_mub_per_fu=0.000 e_form_raw_mev_per_atom=-497 pbc="T T T"
Tl 0.000 0.000 0.000
Hg 1.860 1.860 1.860
Br 5.580 5.580 5.580


[6]
3
Lattice="4.757 0.000 0.000 -2.378 4.120 0.000 0.000 0.000 4.890" Properties=species:S:1:pos:R:3 comment="TlHgBr | the Alexandria database | SCAN | PBEsol geometry" mass_density_g_cm3=8.40 magnetic_moment_mub_per_fu=0.000 e_form_raw_mev_per_atom=-503 pbc="T T T"
Tl 0.000 0.000 0.000
Hg 2.378 1.373 1.534
Br 0.000 2.746 3.306


[7]
4
Lattice="4.497 -2.561 0.000 4.497 2.561 0.000 -2.922 0.000 4.930" Properties=species:S:1:pos:R:3 comment="TlHg2Br | the Alexandria database | SCAN | PBEsol geometry" mass_density_g_cm3=10.02 magnetic_moment_mub_per_fu=0.000 e_form_raw_mev_per_atom=-352 pbc="T T T"
Tl 0.000 0.000 0.000
Hg 0.056 0.000 3.642
Hg 3.032 0.000 2.771
Br 6.012 0.000 1.336


[8]
4
Lattice="3.915 0.000 0.000 0.000 3.915 0.000 0.000 0.000 7.390" Properties=species:S:1:pos:R:3 comment="TlHg2Br | the Alexandria database | SCAN | PBEsol geometry" mass_density_g_cm3=10.05 magnetic_moment_mub_per_fu=0.000 e_form_raw_mev_per_atom=-372 pbc="T T T"
Tl 0.000 0.000 0.000
Hg 0.000 0.000 3.737
Hg 1.957 1.957 5.190
Br 1.957 1.957 1.568


Which formula does entry 6 have?
TlHgBr


Repeat the first record exactly.
4
Lattice="0.000 3.161 5.955 3.069 0.000 5.955 3.069 3.161 0.000" Properties=species:S:1:pos:R:3 comment="TlHg2Br | the Alexandria database | SCAN | PBEsol geometry" mass_density_g_cm3=9.85 magnetic_moment_mub_per_fu=0.000 e_form_raw_mev_per_atom=-365 pbc="T T T"
Tl 0.000 0.000 0.000
Hg 3.069 1.580 2.977
Hg 0.000 1.580 2.977
Br 3.069 3.161 5.955